(1)
Below is an optimized crystal structure of CaSm2Ge, with properties calculated at the GGA-PBE level.

Computed properties:
Offset from the most stable computed form (meV/atom): 2
Magnetization (μB per atom): 0.000
Fermi-level density of states (states/eV per cell): 3.27
Energy relative to the elements (eV per atom): -0.27

The structure in CIF format:
```
data_CaSm2Ge
_cell_length_a 4.8446
_cell_length_b 4.8446
_cell_length_c 4.6850
_cell_angle_alpha 90.00
_cell_angle_beta 90.00
_cell_angle_gamma 90.00
_space_group_name_H-M_alt 'P 4/m m m'
_space_group_IT_number 123
_space_group_name_Hall '-P 4 2'
loop_
_atom_site_label
_atom_site_type_symbol
_atom_site_fract_x
_atom_site_fract_y
_atom_site_fract_z
Ca1 Ca 0.0000 0.0000 0.0000
Sm1 Sm 0.0000 0.5000 0.5000
Ge1 Ge 0.5000 0.5000 0.0000
```

=====

(2)
Below is an optimized crystal structure of CaSm2Ge, with properties calculated at the GGA-PBE level.

Computed properties:
Offset from the most stable computed form (meV/atom): 2
Magnetization (μB per atom): 0.158
Fermi-level density of states (states/eV per cell): 15.82
Energy relative to the elements (eV per atom): -0.27

The structure in CIF format:
```
data_CaSm2Ge
_cell_length_a 4.1145
_cell_length_b 4.1145
_cell_length_c 29.5145
_cell_angle_alpha 90.00
_cell_angle_beta 90.00
_cell_angle_gamma 120.00
_space_group_name_H-M_alt 'R -3 m'
_space_group_IT_number 166
_space_group_name_Hall '-R 3 2"'
loop_
_atom_site_label
_atom_site_type_symbol
_atom_site_fract_x
_atom_site_fract_y
_atom_site_fract_z
Ca1 Ca 0.0000 0.0000 0.0000
Sm1 Sm 0.0000 0.0000 0.2228
Ge1 Ge 0.0000 0.0000 0.5000
```